This record from the Alexandria database describes a relaxed TiPd2Pt2Rh crystal. The functional is PBE.

Results
- N(E_F) (states/eV/f.u.) = 5.71
- total DFT energy (no corrections) (eV per atom) = -6.62
- SG = P2_1/m (11)
- formation energy (eV per formula unit) = -1.981

The structure in extended XYZ format:
```
12
Lattice="5.383 0.000 0.000 0.000 5.303 0.310 0.000 -1.542 6.499" Properties=species:S:1:pos:R:3 pbc="T T T"
Pd 5.374 0.656 1.233
Pd 2.701 0.656 1.233
Pd 2.682 3.105 5.577
Pd 0.009 3.105 5.577
Pt 1.346 1.976 3.323
Pt 4.037 4.448 3.460
Pt 1.346 -0.687 3.349
Pt 4.037 1.785 3.487
Ti 4.037 0.204 5.561
Ti 1.346 3.557 1.249
Rh 1.346 0.543 5.834
Rh 4.037 3.218 0.976
```

---

This record from the Alexandria database describes a relaxed Ti5PdPt2Rh2 crystal. The functional is PBE.

Results
- N(E_F) (states/eV/f.u.) = 8.11
- total DFT energy (no corrections) (eV per atom) = -7.68
- SG = P4/mbm (127)
- formation energy (eV per formula unit) = -5.373

The structure in extended XYZ format:
```
20
Lattice="-2.046 -0.661 1.939 2.924 -10.357 -0.443 7.038 1.645 7.986" Properties=species:S:1:pos:R:3 pbc="T T T"
Pt 6.985 -2.208 6.617
Pt 2.978 -6.504 0.926
Pt 7.069 -7.709 4.832
Pt 2.893 -1.003 2.711
Pd 4.981 -4.356 3.771
Pd 0.000 0.000 0.000
Ti 5.476 -5.866 5.941
Ti 2.496 0.492 4.963
Ti 3.441 -6.551 3.561
Ti 7.499 -7.635 7.472
Ti 4.475 -2.822 5.921
Ti 2.606 -8.988 1.849
Ti 0.417 -1.737 2.010
Ti 5.310 -0.385 7.633
Ti 2.440 -3.506 3.542
Ti 0.439 -5.509 0.748
Rh 2.056 -3.447 0.995
Rh 5.006 -8.277 2.461
Rh 7.907 -5.265 6.548
Rh 4.957 -0.435 5.082
```

---

This record from the Alexandria database describes a relaxed TlPdPtRh crystal. The functional is PBE.

Results
- N(E_F) (states/eV/f.u.) = 4.35
- total DFT energy (no corrections) (eV per atom) = -5.21
- SG = F-43m (216)
- formation energy (eV per formula unit) = 0.093

The structure in extended XYZ format:
```
4
Lattice="-0.779 -4.489 -0.297 0.614 -2.166 -3.973 3.494 -2.895 -0.505" Properties=species:S:1:pos:R:3 pbc="T T T"
Rh 0.000 0.000 0.000
Pt 2.497 -7.162 -3.581
Pd 1.665 -4.775 -2.388
Tl 0.832 -2.387 -1.194
```

---

This record from the Alexandria database describes a relaxed TmPdPtRh crystal. The functional is PBE.

Results
- energy above the lowest structure with this stoichiometry (eV per atom) = 0.178
- N(E_F) (states/eV/f.u.) = 2.47
- total DFT energy (no corrections) (eV per atom) = -6.41
- SG = F-43m (216)
- formation energy (eV per formula unit) = -2.592

The structure in extended XYZ format:
```
4
Lattice="4.597 0.000 0.000 2.298 3.981 0.000 2.298 1.327 3.753" Properties=species:S:1:pos:R:3 pbc="T T T"
Tm 6.895 3.981 2.815
Rh 0.000 0.000 0.000
Pd 4.597 2.654 1.877
Pt 2.298 1.327 0.938
```

---

This record from the Alexandria database describes a relaxed TmPdPtRh crystal. The functional is PBE.

Results
- energy above the lowest structure with this stoichiometry (eV per atom) = 0.000
- N(E_F) (states/eV/f.u.) = 5.10
- total DFT energy (no corrections) (eV per atom) = -6.59
- SG = Pmmm (47)
- formation energy (eV per formula unit) = -3.303

The structure in extended XYZ format:
```
4
Lattice="4.093 0.000 0.000 0.000 4.034 0.000 0.000 0.000 4.072" Properties=species:S:1:pos:R:3 pbc="T T T"
Pt 0.000 0.000 0.000
Pd 2.047 2.017 0.000
Tm 2.047 0.000 2.036
Rh 0.000 2.017 2.036
```

---

This record from the Alexandria database describes a relaxed UPdPtRh crystal. The functional is PBE.

Results
- energy above the lowest structure with this stoichiometry (eV per atom) = 0.217
- N(E_F) (states/eV/f.u.) = 6.75
- total DFT energy (no corrections) (eV per atom) = -7.94
- SG = F-43m (216)
- formation energy (eV per formula unit) = -1.886

The structure in extended XYZ format:
```
4
Lattice="4.645 0.000 0.000 2.323 4.023 0.000 2.323 1.341 3.793" Properties=species:S:1:pos:R:3 pbc="T T T"
Pt 6.968 4.023 2.845
Pd 4.645 2.682 1.896
U 0.000 0.000 0.000
Rh 2.323 1.341 0.948
```

---

This record from the Alexandria database describes a relaxed UPd2PtRh crystal. The functional is PBE.

Results
- N(E_F) (states/eV/f.u.) = 4.99
- total DFT energy (no corrections) (eV per atom) = -7.44
- SG = P2_1/m (11)
- formation energy (eV per formula unit) = -2.123

The structure in extended XYZ format:
```
10
Lattice="4.394 0.000 0.000 0.000 6.192 -0.198 0.000 -1.205 6.602" Properties=species:S:1:pos:R:3 pbc="T T T"
Pd 3.295 2.412 2.424
Pd 3.295 2.167 5.680
Pd 1.098 2.821 0.724
Pd 1.098 2.575 3.980
U 1.098 0.051 4.869
U 3.295 4.936 1.535
Rh 1.098 4.134 6.183
Rh 3.295 0.854 0.220
Pt 3.295 4.498 4.246
Pt 1.098 0.490 2.157
```

---

This record from the Alexandria database describes a relaxed UPd2Pt2Rh crystal. The functional is PBE.

Results
- N(E_F) (states/eV/f.u.) = 5.65
- total DFT energy (no corrections) (eV per atom) = -7.26
- SG = P2_1/m (11)
- formation energy (eV per formula unit) = -2.473

The structure in extended XYZ format:
```
12
Lattice="-2.495 -4.957 0.841 4.616 -1.977 2.038 -2.975 2.459 5.667" Properties=species:S:1:pos:R:3 pbc="T T T"
Pd -1.003 -2.388 1.819
Pd 1.378 0.355 6.312
Pd -2.232 -4.830 2.234
Pd 0.149 -2.087 6.727
U 2.015 -2.176 2.513
U -2.869 -2.299 6.033
Pt -0.981 -3.517 4.457
Pt -3.320 -2.507 3.472
Pt 0.127 -0.958 4.090
Pt 2.466 -1.969 5.074
Rh -1.734 0.274 5.832
Rh 0.880 -4.749 2.715
```